A plane-wave DFT calculation with PBE was carried out for a relaxed PrNiP2Rh2 crystal.

Geometry as POSCAR:
```
PrNiP2Rh2
1.0
4.305 0.000 0.000
0.000 4.305 0.000
0.000 0.000 5.512
Pr Ni P Rh
1 1 2 2
direct
0.000 0.000 0.000
0.000 0.000 0.500
0.000 0.500 0.500
0.500 0.000 0.500
0.500 0.500 0.254
0.500 0.500 0.746
```

Summary:
DFT total energy, Ry per atom: -0.475
V, Å³/cell: 102.2
Space-group type: No. 123
Magnetization, μB/atom: 0.000
Energy of formation, eV/atom: -0.449



A plane-wave DFT calculation with PBE was carried out for a relaxed Pr2Ni12P3Rh crystal.

Geometry as POSCAR:
```
Pr2Ni12P3Rh
1.0
3.844 2.219 5.643
-3.844 2.219 5.643
0.000 -4.438 5.643
Pr Ni P Rh
2 12 3 1
direct
0.112 0.112 0.112
0.888 0.888 0.888
0.121 0.626 0.626
0.161 0.161 0.600
0.161 0.600 0.161
0.374 0.374 0.879
0.374 0.879 0.374
0.400 0.839 0.839
0.600 0.161 0.161
0.626 0.121 0.626
0.626 0.626 0.121
0.839 0.400 0.839
0.839 0.839 0.400
0.879 0.374 0.374
0.000 0.500 0.500
0.500 0.000 0.500
0.500 0.500 0.000
0.500 0.500 0.500
```

Summary:
DFT total energy, Ry per atom: -0.417
V, Å³/cell: 288.8
Space-group type: No. 166
Magnetization, μB/atom: 0.000
Energy of formation, eV/atom: 0.026



A plane-wave DFT calculation with PBE was carried out for a relaxed Pr2Ni3P4Rh crystal.

Geometry as POSCAR:
```
Pr2Ni3P4Rh
1.0
4.096 0.000 0.000
0.000 4.096 0.000
0.000 0.000 9.360
Pr Ni P Rh
2 3 4 1
direct
0.000 0.500 0.242
0.500 0.000 0.758
0.000 0.500 0.888
0.500 0.000 0.112
0.500 0.500 0.500
0.000 0.000 0.000
0.000 0.500 0.636
0.500 0.000 0.364
0.500 0.500 0.000
0.000 0.000 0.500
```

Summary:
DFT total energy, Ry per atom: -0.484
V, Å³/cell: 157.0
Space-group type: No. 115
Magnetization, μB/atom: 0.000
Energy of formation, eV/atom: -0.992